[1]
Here is an optimized crystal structure of CeSi2Tc2 from Alexandria via LeMat-Bulk. Energies are from PBE.

Unit cell a=4.1992 b=4.1992 c=5.8082 alpha=111.19 beta=111.19 gamma=90.00
Each line ends with the local moment (μB).
Fractional coordinates of all 5 atoms:
Ce1 0.0000 0.0000 0.0000  0.32
Si1 0.6261 0.6261 0.2522  0.00
Tc1 0.7500 0.2500 0.5000  0.00
Si2 0.3739 0.3739 0.7478  0.00
Tc2 0.2500 0.7500 0.5000  0.00

Summary:
spin magnetization: 0.380 μB per cell
energy relative to the elements, uncorrected: -0.609 eV/atom
E above lowest polymorph: 0.000 eV per atom

=====

[2]
Here is an optimized crystal structure of ScGeSeN2 from Alexandria via LeMat-Bulk. Energies are from PBE.

Unit cell a=3.8102 b=3.8102 c=5.2170 alpha=90.00 beta=90.00 gamma=90.00
Each line ends with the local moment (μB).
Fractional coordinates of all 5 atoms:
N1 0.0000 0.5000 0.0000  0.24
Sc1 0.5000 0.5000 0.5000  -0.04
Se1 0.0000 0.0000 0.5000  0.01
Ge1 0.0000 0.0000 0.0000  -0.02
N2 0.5000 0.0000 0.0000  0.24

Summary:
spin magnetization: 0.597 μB per cell
energy relative to the elements, uncorrected: 0.351 eV/atom
E above lowest polymorph: 0.000 eV per atom

=====

[3]
Here is an optimized crystal structure of BeSi2Cl from Alexandria via LeMat-Bulk. Energies are from PBE.

Unit cell a=3.2986 b=3.2986 c=7.5450 alpha=90.00 beta=90.00 gamma=90.00
Fractional coordinates of all 4 atoms:
Si1 0.5000 0.5000 0.1386
Cl1 0.5000 0.5000 0.6255
Si2 0.0000 0.0000 0.2209
Be1 0.0000 0.0000 0.5150

Summary:
spin magnetization: 0.094 μB per cell
energy relative to the elements, uncorrected: 0.299 eV/atom
E above lowest polymorph: 0.119 eV per atom